Computed, not measured: a relaxed Na2AgS2 crystal at the PBE level of DFT.

The formation energy (no corrections) comes out at -0.350 eV per atom. For the polymorph energy (0 for the lowest one), the calculation gives 246.2 meV per atom. For the density of states at the Fermi level, the calculation gives 1.48 states/eV/cell.

Unit cell a=8.233 b=8.233 c=2.877 alpha=90.00 beta=90.00 gamma=90.00
Sites, in units of the cell vectors:
Na (0.128, 0.372, 0.000)
Na (0.372, 0.872, 0.000)
Na (0.628, 0.128, 0.000)
Na (0.872, 0.628, 0.000)
Ag (0.000, 0.000, 0.000)
Ag (0.500, 0.500, 0.000)
S (0.172, 0.672, 0.500)
S (0.328, 0.172, 0.500)
S (0.672, 0.828, 0.500)
S (0.828, 0.328, 0.500)